one.
# BeFe2Pb

Crystalline BeFe2Pb at its relaxed geometry (GGA-PBE, OQMD).

a = 4.2665 Å, b = 4.2665 Å, c = 4.2665 Å
α = 60.00°, β = 60.00°, γ = 60.00°
Site moments in Bohr magnetons follow the coordinates.
Fractional positions:
Be 0.2500 0.2500 0.2500  -0.03
Fe 0.5000 0.5000 0.5000  2.36
Fe 0.7500 0.7500 0.7500  1.92
Pb 0.0000 0.0000 0.0000  -0.03

two.
# BeFe2Pb

Crystalline BeFe2Pb at its relaxed geometry (GGA-PBE, OQMD).

a = 6.1588 Å, b = 6.1588 Å, c = 6.1588 Å
α = 90.00°, β = 90.00°, γ = 90.00°
Site moments in Bohr magnetons follow the coordinates.
Fractional positions:
Be 0.5000 0.5000 0.0000  -0.09
Be 0.5000 0.0000 0.5000  -0.09
Be 0.0000 0.5000 0.5000  -0.09
Be 0.5000 0.5000 0.5000  -0.16
Fe 0.2987 0.2987 0.2987  2.42
Fe 0.7013 0.2987 0.2987  2.37
Fe 0.2987 0.7013 0.2987  2.35
Fe 0.7013 0.7013 0.2987  2.35
Fe 0.2987 0.2987 0.7013  2.35
Fe 0.7013 0.2987 0.7013  2.35
Fe 0.2987 0.7013 0.7013  2.37
Fe 0.7013 0.7013 0.7013  2.42
Pb 0.0000 0.0000 0.0000  -0.01
Pb 0.5000 0.0000 0.0000  -0.05
Pb 0.0000 0.5000 0.0000  -0.03
Pb 0.0000 0.0000 0.5000  -0.04

Which one is most stable, and which one is least stable? two is the most stable of them, while one is the least stable.

one.
# TaBeFePb

Crystalline TaBeFePb at its relaxed geometry (GGA-PBE, OQMD).

a = 4.4958 Å, b = 4.4958 Å, c = 4.4958 Å
α = 60.00°, β = 60.00°, γ = 60.00°
Fractional positions:
Be 0.5000 0.5000 0.5000
Fe 0.7500 0.7500 0.7500
Pb 0.0000 0.0000 0.0000
Ta 0.2500 0.2500 0.2500

two.
# TaBeFePb

Crystalline TaBeFePb at its relaxed geometry (GGA-PBE, OQMD).

a = 4.4067 Å, b = 4.4067 Å, c = 4.4067 Å
α = 60.00°, β = 60.00°, γ = 60.00°
Fractional positions:
Be 0.2500 0.2500 0.2500
Fe 0.7500 0.7500 0.7500
Pb 0.0000 0.0000 0.0000
Ta 0.5000 0.5000 0.5000

Which one is most stable, and which one is least stable? two is the most stable of them, while one is the least stable.

one.
# BeFePbW

Crystalline BeFePbW at its relaxed geometry (GGA-PBE, OQMD).

a = 4.4272 Å, b = 4.4272 Å, c = 4.4272 Å
α = 60.00°, β = 60.00°, γ = 60.00°
Fractional positions:
Be 0.5000 0.5000 0.5000
Fe 0.7500 0.7500 0.7500
Pb 0.0000 0.0000 0.0000
W 0.2500 0.2500 0.2500

two.
# BeFePbW

Crystalline BeFePbW at its relaxed geometry (GGA-PBE, OQMD).

a = 4.3593 Å, b = 4.3593 Å, c = 4.3593 Å
α = 60.00°, β = 60.00°, γ = 60.00°
Fractional positions:
Be 0.2500 0.2500 0.2500
Fe 0.7500 0.7500 0.7500
Pb 0.0000 0.0000 0.0000
W 0.5000 0.5000 0.5000

Which one is most stable, and which one is least stable? two is the most stable of them, while one is the least stable.

one.
# YBeFePb

Crystalline YBeFePb at its relaxed geometry (GGA-PBE, OQMD).

a = 4.7649 Å, b = 4.7649 Å, c = 4.7649 Å
α = 60.00°, β = 60.00°, γ = 60.00°
Fractional positions:
Be 0.5000 0.5000 0.5000
Fe 0.7500 0.7500 0.7500
Pb 0.0000 0.0000 0.0000
Y 0.2500 0.2500 0.2500

two.
# YBeFePb

Crystalline YBeFePb at its relaxed geometry (GGA-PBE, OQMD).

a = 4.6901 Å, b = 4.6901 Å, c = 4.6901 Å
α = 60.00°, β = 60.00°, γ = 60.00°
Fractional positions:
Be 0.2500 0.2500 0.2500
Fe 0.7500 0.7500 0.7500
Pb 0.0000 0.0000 0.0000
Y 0.5000 0.5000 0.5000

Which one is most stable, and which one is least stable? two is the most stable of them, while one is the least stable.

one.
# BeFeSiPd

Crystalline BeFeSiPd at its relaxed geometry (GGA-PBE, OQMD).

a = 4.0713 Å, b = 4.0713 Å, c = 4.0713 Å
α = 60.00°, β = 60.00°, γ = 60.00°
Fractional positions:
Be 0.2500 0.2500 0.2500
Fe 0.7500 0.7500 0.7500
Pd 0.5000 0.5000 0.5000
Si 0.0000 0.0000 0.0000

two.
# BeFeSiPd

Crystalline BeFeSiPd at its relaxed geometry (GGA-PBE, OQMD).

a = 3.9768 Å, b = 3.9768 Å, c = 3.9768 Å
α = 60.00°, β = 60.00°, γ = 60.00°
Fractional positions:
Be 0.5000 0.5000 0.5000
Fe 0.7500 0.7500 0.7500
Pd 0.2500 0.2500 0.2500
Si 0.0000 0.0000 0.0000

Which one is most stable, and which one is least stable? two is the most stable of them, while one is the least stable.

one.
# BeZnFePd

Crystalline BeZnFePd at its relaxed geometry (GGA-PBE, OQMD).

a = 4.1044 Å, b = 4.1044 Å, c = 4.1044 Å
α = 60.00°, β = 60.00°, γ = 60.00°
Fractional positions:
Be 0.5000 0.5000 0.5000
Fe 0.7500 0.7500 0.7500
Pd 0.2500 0.2500 0.2500
Zn 0.0000 0.0000 0.0000

two.
# BeZnFePd

Crystalline BeZnFePd at its relaxed geometry (GGA-PBE, OQMD).

a = 4.1443 Å, b = 4.1443 Å, c = 4.1443 Å
α = 60.00°, β = 60.00°, γ = 60.00°
Fractional positions:
Be 0.2500 0.2500 0.2500
Fe 0.7500 0.7500 0.7500
Pd 0.5000 0.5000 0.5000
Zn 0.0000 0.0000 0.0000

Which one is most stable, and which one is least stable? one is the most stable of them, while two is the least stable.